The following is a PBE with a Hubbard U calculation of a relaxed MnZnHgF6 crystal, from Alexandria via LeMat-Bulk.

The structure in CIF format:
```
data_MnZnHgF6
_chemical_formula_sum 'Mn2 Zn2 Hg2 F12'
_cell_length_a 5.5300
_cell_length_b 5.5300
_cell_length_c 9.7642
_cell_angle_alpha 90.00
_cell_angle_beta 90.00
_cell_angle_gamma 120.00
_space_group_name_H-M_alt 'P -3 1 c'
_space_group_IT_number 163
_space_group_name_Hall '-P 3 2c'
loop_
_atom_site_label
_atom_site_fract_x
_atom_site_fract_y
_atom_site_fract_z
_atom_site_occupancy
Mn1 0.3333 0.6667 0.2500 1
Zn1 0.3333 0.6667 0.7500 1
Hg1 0.0000 0.0000 0.0000 1
F1 0.0099 0.3585 0.6368 1
```

## Properties
DFT total energy = -4.3809 eV per atom
crystal system = trigonal
volume = 258.6 Å³ per cell